This record from Alexandria via LeMat-Bulk describes a relaxed MoAuN2O crystal. The functional is PBE+U.

Summary:
The total energy comes out at -5.748 eV per atom.

Unit cell a=4.0541 b=4.0541 c=3.8492 alpha=90.00 beta=90.00 gamma=90.00
Fractional coordinates of all 5 atoms:
Mo  0.0000  0.0000  0.0000
Au  0.5000  0.5000  0.5000
O  0.0000  0.0000  0.5000
N  0.0000  0.5000  0.0000
N  0.5000  0.0000  0.0000